# 1
Here is a relaxed structure of BeZn2Cu5Au2 from Alexandria. Energies are from PBE-GGA.

calculated volume: 276.99 Å³/cell
formation energy: 0.030 eV per atom
uncorrected energy: -3.30 eV/atom

Cell: 9.9346 9.9346 2.8065 Å, 90.00 90.00 90.00°
With the nearest neighbours (Å) after each atom.
Fractional positions:
Be: 0.0000 0.0000 0.0000  8 Cu 2.29
Be: 0.5000 0.5000 0.0000  8 Cu 2.29
Zn: 0.1514 0.3486 0.0000  6 Cu 2.55-2.58, 1 Au 2.61, 2 Zn 2.81
Zn: 0.3486 0.8486 0.0000  6 Cu 2.55-2.58, 1 Au 2.61, 2 Zn 2.81
Zn: 0.6514 0.1514 0.0000  6 Cu 2.55-2.58, 1 Au 2.61, 2 Zn 2.81
Zn: 0.8486 0.6514 0.0000  6 Cu 2.55-2.58, 1 Au 2.61, 2 Zn 2.81
Cu: 0.0000 0.5000 0.5000  4 Zn 2.55, 4 Au 2.68, 2 Cu 2.81
Cu: 0.0107 0.1822 0.5000  2 Be 2.29, 2 Cu 2.56
Cu: 0.1822 0.9893 0.5000  2 Be 2.29, 2 Cu 2.56
Cu: 0.3178 0.4893 0.5000  2 Be 2.29, 2 Cu 2.56
Cu: 0.4893 0.6822 0.5000  2 Be 2.29, 2 Cu 2.56
Cu: 0.5000 0.0000 0.5000  4 Zn 2.55, 4 Au 2.68, 2 Cu 2.81
Cu: 0.5107 0.3178 0.5000  2 Be 2.29, 2 Cu 2.56
Cu: 0.6822 0.5107 0.5000  2 Be 2.29, 2 Cu 2.56
Cu: 0.8178 0.0107 0.5000  2 Be 2.29, 2 Cu 2.56
Cu: 0.9893 0.8178 0.5000  2 Be 2.29, 2 Cu 2.56
Au: 0.1629 0.6629 0.0000  1 Zn 2.61, 6 Cu 2.68-2.70, 2 Au 2.81
Au: 0.3371 0.1629 0.0000  1 Zn 2.61, 6 Cu 2.68-2.70, 2 Au 2.81
Au: 0.6629 0.8371 0.0000  1 Zn 2.61, 6 Cu 2.68-2.70, 2 Au 2.81
Au: 0.8371 0.3371 0.0000  1 Zn 2.61, 6 Cu 2.68-2.70, 2 Au 2.81

=====

# 2
Here is a relaxed structure of SiBTeN2 from Alexandria. Energies are from PBE-GGA.

distance to the lowest polymorph of the same formula: 0 meV per atom
E_form (uncorrected): 4.72 eV per formula unit
calculated volume: 82.56 Å³/cell
uncorrected energy: -5.44 eV/atom

Cell: 3.4011 3.4011 7.1368 Å, 90.00 90.00 90.00°
With the nearest neighbours (Å) after each atom.
Fractional positions:
Si: 0.0000 0.0000 0.0000  4 N 1.70
B: 0.5000 0.5000 0.5000  4 Te 2.40
Te: 0.0000 0.0000 0.5000  4 B 2.40
N: 0.0000 0.5000 0.0000  2 Si 1.70
N: 0.5000 0.0000 0.0000  2 Si 1.70

=====

# 3
Here is a relaxed structure of Ca2GaGe4Pt3 from Alexandria. Energies are from PBE-GGA.

calculated volume: 194.91 Å³/cell
formation energy: -0.693 eV per atom
uncorrected energy: -5.06 eV/atom

Cell: 4.2576 4.2576 10.7523 Å, 90.00 90.00 90.00°
With the nearest neighbours (Å) after each atom.
Fractional positions:
Ca: 0.0000 0.5000 0.2483  8 Ge 3.22-3.44, 6 Pt 3.29-3.41, 2 Ga 3.41
Ca: 0.5000 0.0000 0.7517  8 Ge 3.22-3.44, 6 Pt 3.29-3.41, 2 Ga 3.41
Ga: 0.5000 0.5000 0.0000  4 Ge 2.62
Ge: 0.0000 0.0000 0.5000  4 Pt 2.54
Ge: 0.0000 0.5000 0.8582  3 Pt 2.47-2.62, 2 Ga 2.62
Ge: 0.5000 0.0000 0.1418  3 Pt 2.47-2.62, 2 Ga 2.62
Ge: 0.5000 0.5000 0.5000  4 Pt 2.54
Pt: 0.0000 0.0000 0.0000  4 Ge 2.62
Pt: 0.0000 0.5000 0.6282  5 Ge 2.47-2.54
Pt: 0.5000 0.0000 0.3718  5 Ge 2.47-2.54

=====

# 4
Here is a relaxed structure of CaZn from Alexandria. Energies are from PBE-GGA.

calculated volume: 245.87 Å³/cell
formation energy: -0.098 eV per atom
uncorrected energy: -1.74 eV/atom

Cell: 7.7881 7.7881 7.7881 Å, 94.59 94.59 147.14°
With the nearest neighbours (Å) after each atom.
Fractional positions:
Ca: 0.0000 0.2725 0.2725  6 Zn 3.12-3.17
Ca: 0.0000 0.7275 0.7275  6 Zn 3.12-3.17
Ca: 0.2725 0.0000 0.2725  6 Zn 3.12-3.17
Ca: 0.7275 0.0000 0.7275  6 Zn 3.12-3.17
Zn: 0.2942 0.2942 0.5885  2 Zn 2.57
Zn: 0.2942 0.7058 0.0000  2 Zn 2.57
Zn: 0.7058 0.2942 0.0000  2 Zn 2.57
Zn: 0.7058 0.7058 0.4115  2 Zn 2.57

=====

# 5
Here is a relaxed structure of AcGdTm2 from Alexandria. Energies are from PBE-GGA.

distance to the lowest polymorph of the same formula: 152 meV per atom
calculated volume: 137.95 Å³/cell
formation energy: 0.209 eV per atom
uncorrected energy: -6.57 eV/atom

Cell: 12.7840 12.7840 12.7840 Å, 15.98 15.98 15.98°
With the nearest neighbours (Å) after each atom.
Fractional positions:
Ac: 0.0000 0.0000 0.0000  2 Tm 3.50, 6 Ac 3.55
Gd: 0.5000 0.5000 0.5000  6 Tm 3.48, 6 Gd 3.55
Tm: 0.0924 0.0924 0.0924  3 Gd 3.48, 1 Ac 3.50, 6 Tm 3.55
Tm: 0.9076 0.9076 0.9076  3 Gd 3.48, 1 Ac 3.50, 6 Tm 3.55

=====

# 6
Here is a relaxed structure of K2RbErF6 from Alexandria. Energies are from PBE-GGA.

E_form (uncorrected): -33.55 eV per formula unit
calculated volume: 403.74 Å³/cell
uncorrected energy: -5.25 eV/atom

Cell: 6.4518 6.7712 11.1433 Å, 90.00 123.97 90.00°
With the nearest neighbours (Å) after each atom.
Fractional positions:
K: 0.2216 0.0461 0.2324  5 F 2.66-2.95
K: 0.2216 0.4538 0.7324  5 F 2.66-2.95
K: 0.7784 0.5462 0.2676  5 F 2.66-2.95
K: 0.7784 0.9538 0.7676  5 F 2.66-2.95
Rb: 0.0000 0.0000 0.5000  6 F 2.71-2.88
Rb: 0.0000 0.5000 0.0000  6 F 2.71-2.88
Er: 0.5000 0.0000 0.0000  6 F 2.16-2.18
Er: 0.5000 0.5000 0.5000  6 F 2.16-2.18
F: 0.1787 0.1604 0.9614  1 Er 2.16
F: 0.1787 0.3396 0.4614  1 Er 2.16
F: 0.2578 0.7409 0.9105  1 Er 2.18
F: 0.2578 0.7591 0.4105  1 Er 2.18
F: 0.4070 0.0843 0.7870  1 Er 2.17
F: 0.4070 0.4157 0.2870  1 Er 2.17
F: 0.5930 0.5843 0.7130  1 Er 2.17
F: 0.5930 0.9157 0.2130  1 Er 2.17
F: 0.7422 0.2409 0.5895  1 Er 2.18
F: 0.7422 0.2591 0.0895  1 Er 2.18
F: 0.8213 0.6604 0.5386  1 Er 2.16
F: 0.8213 0.8396 0.0386  1 Er 2.16

=====

# 7
Here is a relaxed structure of ScInBr2 from Alexandria. Energies are from PBE-GGA.

distance to the lowest polymorph of the same formula: 182 meV per atom
E_form (uncorrected): -3.20 eV per formula unit
calculated volume: 121.58 Å³/cell
uncorrected energy: -3.90 eV/atom

Cell: 3.7347 3.7347 10.4489 Å, 90.00 90.00 123.47°
With the nearest neighbours (Å) after each atom.
Fractional positions:
Sc: 0.0000 0.0000 0.0000  4 Br 2.67
In: 0.0000 0.0000 0.5000  6 In 3.54-3.73, 4 Br 3.67
Br: 0.5000 0.5000 0.1920  2 Sc 2.67
Br: 0.5000 0.5000 0.8080  2 Sc 2.67

=====

# 8
Here is a relaxed structure of KTc2Au from Alexandria. Energies are from PBE-GGA.

distance to the lowest polymorph of the same formula: 375 meV per atom
calculated volume: 90.96 Å³/cell
formation energy: 0.799 eV per atom
uncorrected energy: -5.48 eV/atom

Cell: 2.7046 4.7218 7.1228 Å, 90.00 90.00 90.00°
With the nearest neighbours (Å) after each atom.
Fractional positions:
K: 0.0000 0.0000 0.0000  2 K 2.70
Tc: 0.5000 0.5000 0.3469  1 Tc 2.18
Tc: 0.5000 0.5000 0.6531  1 Tc 2.18
Au: 0.0000 0.0000 0.5000  2 Au 2.70, 8 Tc 2.93

=====

# 9
Here is a relaxed structure of UOs2Au from Alexandria. Energies are from PBE-GGA.

calculated volume: 68.69 Å³/cell
formation energy: -0.011 eV per atom
uncorrected energy: -9.27 eV/atom

Cell: 4.2275 4.2275 3.8436 Å, 90.00 90.00 90.00°
With the nearest neighbours (Å) after each atom.
Fractional positions:
U: 0.0000 0.0000 0.0000  8 Os 2.86, 4 Au 2.99
Os: 0.0000 0.5000 0.5000  4 U 2.86, 4 Au 2.86, 4 Os 2.99
Os: 0.5000 0.0000 0.5000  4 U 2.86, 4 Au 2.86, 4 Os 2.99
Au: 0.5000 0.5000 0.0000  8 Os 2.86, 4 U 2.99

=====

# 10
Here is a relaxed structure of MgBe2VSn from Alexandria. Energies are from PBE-GGA.

calculated volume: 102.51 Å³/cell
formation energy: 1.163 eV per atom
uncorrected energy: -3.27 eV/atom

Cell: 4.5148 4.5148 5.0292 Å, 90.00 90.00 90.00°
With the nearest neighbours (Å) after each atom.
Fractional positions:
Mg: 0.0000 0.0000 0.0000  2 V 2.51
Be: 0.0000 0.5000 0.5000  2 V 2.26
Be: 0.5000 0.0000 0.5000  2 V 2.26
V: 0.0000 0.0000 0.5000  4 Be 2.26, 2 Mg 2.51
Sn: 0.5000 0.5000 0.0000  4 Mg 3.19, 8 Be 3.38

=====

# 11
Here is a relaxed structure of Ca6Tl4Pb7 from Alexandria. Energies are from PBE-GGA.

calculated volume: 550.92 Å³/cell
formation energy: -0.221 eV per atom
uncorrected energy: -3.01 eV/atom

Cell: 8.9448 8.9448 8.9448 Å, 109.47 109.47 109.47°
With the nearest neighbours (Å) after each atom.
Fractional positions:
Ca: 0.0000 0.2942 0.2942  5 Pb 3.04-3.34
Ca: 0.0000 0.7058 0.7058  5 Pb 3.04-3.34
Ca: 0.2942 0.0000 0.2942  5 Pb 3.04-3.34
Ca: 0.2942 0.2942 0.0000  5 Pb 3.04-3.34
Ca: 0.7058 0.0000 0.7058  5 Pb 3.04-3.34
Ca: 0.7058 0.7058 0.0000  5 Pb 3.04-3.34
Tl: 0.0000 0.0000 0.5000  6 Pb 3.65, 6 Ca 3.68
Tl: 0.0000 0.5000 0.0000  6 Pb 3.65, 6 Ca 3.68
Tl: 0.5000 0.0000 0.0000  6 Pb 3.65, 6 Ca 3.68
Tl: 0.5000 0.5000 0.5000  6 Pb 3.65, 6 Ca 3.68
Pb: 0.0000 0.0000 0.0000  6 Ca 3.04
Pb: 0.2500 0.5000 0.7500  4 Ca 3.34, 4 Tl 3.65, 4 Pb 3.65
Pb: 0.2500 0.7500 0.5000  4 Ca 3.34, 4 Tl 3.65, 4 Pb 3.65
Pb: 0.5000 0.2500 0.7500  4 Ca 3.34, 4 Pb 3.65, 4 Tl 3.65
Pb: 0.5000 0.7500 0.2500  4 Ca 3.34, 4 Tl 3.65, 4 Pb 3.65
Pb: 0.7500 0.2500 0.5000  4 Ca 3.34, 4 Pb 3.65, 4 Tl 3.65
Pb: 0.7500 0.5000 0.2500  4 Ca 3.34, 4 Pb 3.65, 4 Tl 3.65

=====

# 12
Here is a relaxed structure of PaMoH from Alexandria. Energies are from PBE-GGA.

distance to the lowest polymorph of the same formula: 0 meV per atom
calculated volume: 93.64 Å³/cell
uncorrected energy: -7.81 eV/atom

Cell: 5.3367 5.3367 5.6435 Å, 94.93 94.93 35.80°
With the nearest neighbours (Å) after each atom.
Fractional positions:
Pa: 0.0997 0.0997 0.2687  2 H 2.28, 1 Mo 2.43
Pa: 0.9003 0.9003 0.7313  2 H 2.28, 1 Mo 2.43
Mo: 0.3265 0.3265 0.1632  1 H 1.80
Mo: 0.6735 0.6735 0.8368  1 H 1.80
H: 0.4163 0.4163 0.4537  1 H 1.73, 1 Mo 1.80
H: 0.5837 0.5837 0.5463  1 H 1.73, 1 Mo 1.80

=====

# 13
Here is a relaxed structure of La2Y5Er2 from Alexandria. Energies are from PBE-GGA.

distance to the lowest polymorph of the same formula: 0 meV per atom
calculated volume: 303.65 Å³/cell
formation energy: 0.160 eV per atom
uncorrected energy: -5.54 eV/atom

Cell: 10.3489 10.3489 8.6952 Å, 101.58 101.58 19.45°
With the nearest neighbours (Å) after each atom.
Fractional positions:
La: 0.1032 0.1032 0.3295  2 La 3.50, 9 Y 3.58-3.72, 2 Er 3.74
La: 0.8968 0.8968 0.6705  2 La 3.50, 9 Y 3.58-3.72, 2 Er 3.74
Y: 0.2803 0.2803 0.3503  5 Y 3.35-3.56, 3 Er 3.55-3.59, 3 La 3.58-3.71
Y: 0.4427 0.4427 0.3314  5 Y 3.32-3.50, 1 Er 3.57, 4 La 3.71-3.72
Y: 0.5000 0.5000 0.0000  4 Y 3.32-3.50, 2 Er 3.61, 4 La 3.64
Y: 0.5573 0.5573 0.6686  5 Y 3.32-3.50, 1 Er 3.57, 4 La 3.71-3.72
Y: 0.7197 0.7197 0.6497  5 Y 3.35-3.56, 3 Er 3.55-3.59, 3 La 3.58-3.71
Er: 0.3212 0.3212 0.9727  4 Er 3.50, 5 Y 3.55-3.61, 2 La 3.74
Er: 0.6788 0.6788 0.0273  4 Er 3.50, 5 Y 3.55-3.61, 2 La 3.74

=====

# 14
Here is a relaxed structure of Pu2InSb from Alexandria. Energies are from PBE-GGA.

distance to the lowest polymorph of the same formula: 280 meV per atom
E_form (uncorrected): -0.47 eV per formula unit
calculated volume: 108.76 Å³/cell
uncorrected energy: -9.00 eV/atom

Cell: 10.8323 10.8323 10.8323 Å, 18.24 18.24 18.24°
With the nearest neighbours (Å) after each atom.
Fractional positions:
Pu: 0.2477 0.2477 0.2477  3 Sb 3.26, 3 In 3.38, 6 Pu 3.43
Pu: 0.7523 0.7523 0.7523  3 Sb 3.26, 3 In 3.38, 6 Pu 3.43
In: 0.0000 0.0000 0.0000  6 Pu 3.38, 6 In 3.43
Sb: 0.5000 0.5000 0.5000  6 Pu 3.26, 6 Sb 3.43

=====

# 15
Here is a relaxed structure of Hg2Pd3Pb from Alexandria. Energies are from PBE-GGA.

calculated volume: 113.93 Å³/cell
formation energy: -0.156 eV per atom
uncorrected energy: -3.47 eV/atom

Cell: 3.3521 3.3521 10.1395 Å, 90.00 90.00 90.00°
With the nearest neighbours (Å) after each atom.
Fractional positions:
Hg: 0.0000 0.0000 0.1604  8 Pd 2.87
Hg: 0.0000 0.0000 0.8396  8 Pd 2.87
Pd: 0.5000 0.5000 0.0000  8 Hg 2.87
Pd: 0.5000 0.5000 0.3205  4 Hg 2.87, 4 Pb 2.99
Pd: 0.5000 0.5000 0.6795  4 Hg 2.87, 4 Pb 2.99
Pb: 0.0000 0.0000 0.5000  8 Pd 2.99

=====

# 16
Here is a relaxed structure of HfAgI from Alexandria. Energies are from PBE-GGA.

E_form (uncorrected): 0.16 eV per formula unit
calculated volume: 164.36 Å³/cell
uncorrected energy: -4.73 eV/atom

Cell: 15.4850 3.5005 3.5005 Å, 60.03 90.00 90.00°
With the nearest neighbours (Å) after each atom.
Fractional positions:
Hf: 0.1374 0.0000 0.0000  3 I 2.90, 3 Ag 2.93-2.94
Hf: 0.8626 0.0000 0.0000  3 I 2.90, 3 Ag 2.93-2.94
Ag: 0.0000 0.3333 0.3333  6 Hf 2.93-2.94
Ag: 0.5000 0.3100 0.3100  6 Ag 3.50, 2 I 3.53
I: 0.2721 0.3333 0.3333  3 Hf 2.90
I: 0.7279 0.3333 0.3333  3 Hf 2.90

=====

# 17
Here is a relaxed structure of SmDy2InO from Alexandria. Energies are from PBE-GGA.

E_form (uncorrected): -7.13 eV per formula unit
calculated volume: 112.35 Å³/cell
uncorrected energy: -5.75 eV/atom

Cell: 4.7768 4.7768 4.9240 Å, 90.00 90.00 90.00°
With the nearest neighbours (Å) after each atom.
Fractional positions:
Sm: 0.0000 0.0000 0.0000  2 O 2.46
Dy: 0.0000 0.5000 0.5000  2 O 2.39
Dy: 0.5000 0.0000 0.5000  2 O 2.39
In: 0.5000 0.5000 0.0000  4 Sm 3.38, 8 Dy 3.43
O: 0.0000 0.0000 0.5000  4 Dy 2.39, 2 Sm 2.46

=====

# 18
Here is a relaxed structure of NaPr5Cd6 from Alexandria. Energies are from PBE-GGA.

calculated volume: 345.26 Å³/cell
formation energy: -0.273 eV per atom
uncorrected energy: -2.83 eV/atom

Cell: 9.4663 9.4663 9.4663 Å, 146.50 131.92 59.87°
With the nearest neighbours (Å) after each atom.
Fractional positions:
Na: 0.0000 0.0000 0.0000  8 Cd 3.29-3.32
Pr: 0.1657 0.6657 0.5000  8 Cd 3.31-3.42
Pr: 0.3333 0.3333 0.0000  8 Cd 3.36-3.37
Pr: 0.5000 0.0000 0.5000  8 Cd 3.33-3.37
Pr: 0.6667 0.6667 0.0000  8 Cd 3.36-3.37
Pr: 0.8343 0.3343 0.5000  8 Cd 3.31-3.42
Cd: 0.0807 0.8360 0.2446  1 Na 3.29, 7 Pr 3.32-3.42
Cd: 0.2444 0.5000 0.7444  6 Pr 3.31-3.37, 2 Na 3.32
Cd: 0.4086 0.1640 0.2446  1 Na 3.29, 7 Pr 3.32-3.42
Cd: 0.5914 0.8360 0.7554  1 Na 3.29, 7 Pr 3.32-3.42
Cd: 0.7556 0.5000 0.2556  6 Pr 3.31-3.37, 2 Na 3.32
Cd: 0.9193 0.1640 0.7554  1 Na 3.29, 7 Pr 3.32-3.42

=====

# 19
Here is a relaxed structure of LiCa2Pd2 from Alexandria. Energies are from PBE-GGA.

distance to the lowest polymorph of the same formula: 0 meV per atom
calculated volume: 218.93 Å³/cell
formation energy: -0.601 eV per atom
uncorrected energy: -3.86 eV/atom

Cell: 5.7950 5.7950 7.8871 Å, 102.04 102.04 58.34°
With the nearest neighbours (Å) after each atom.
Fractional positions:
Li: 0.1255 0.8745 0.7500  4 Pd 2.57-2.60
Li: 0.8745 0.1255 0.2500  4 Pd 2.57-2.60
Ca: 0.2113 0.4876 0.3489  6 Pd 3.03-3.18, 1 Li 3.33
Ca: 0.4876 0.2113 0.8489  6 Pd 3.03-3.18, 1 Li 3.33
Ca: 0.5124 0.7887 0.1511  6 Pd 3.03-3.18, 1 Li 3.33
Ca: 0.7887 0.5124 0.6511  6 Pd 3.03-3.18, 1 Li 3.33
Pd: 0.0052 0.7357 0.9975  2 Li 2.57-2.60, 1 Pd 2.77
Pd: 0.2643 0.9948 0.5025  2 Li 2.57-2.60, 1 Pd 2.77
Pd: 0.7357 0.0052 0.4975  2 Li 2.57-2.60, 1 Pd 2.77
Pd: 0.9948 0.2643 0.0025  2 Li 2.57-2.60, 1 Pd 2.77

=====

# 20
Here is a relaxed structure of KTc3Pt from Alexandria. Energies are from PBE-GGA.

distance to the lowest polymorph of the same formula: 1129 meV per atom
calculated volume: 86.29 Å³/cell
formation energy: 2.965 eV per atom
uncorrected energy: -4.68 eV/atom

Cell: 4.4189 4.4189 4.4189 Å, 90.00 90.00 90.00°
With the nearest neighbours (Å) after each atom.
Fractional positions:
K: 0.0000 0.0000 0.0000  6 Tc 2.21
Tc: 0.0000 0.0000 0.5000  2 K 2.21
Tc: 0.0000 0.5000 0.0000  2 K 2.21
Tc: 0.5000 0.0000 0.0000  2 K 2.21
Pt: 0.5000 0.5000 0.5000  12 Tc 3.12

=====

Number 1: N(E_F) 0.205 states/eV/atom. Number 2: N(E_F) 0.428 states/eV/atom. Number 3: N(E_F) 0.552 states/eV/atom. Number 4: N(E_F) 0.891 states/eV/atom. Number 5: N(E_F) 1.661 states/eV/atom. Number 6: N(E_F) 0.000 states/eV/atom. Number 7: N(E_F) 0.597 states/eV/atom. Number 8: N(E_F) 0.728 states/eV/atom. Number 9: N(E_F) 1.162 states/eV/atom. Number 10: N(E_F) 0.705 states/eV/atom. Number 11: N(E_F) 0.784 states/eV/atom. Number 12: N(E_F) 0.863 states/eV/atom. Number 13: N(E_F) 1.701 states/eV/atom. Number 14: N(E_F) 4.060 states/eV/atom. Number 15: N(E_F) 0.406 states/eV/atom. Number 16: N(E_F) 0.841 states/eV/atom. Number 17: N(E_F) 0.294 states/eV/atom. Number 18: N(E_F) 1.032 states/eV/atom. Number 19: N(E_F) 0.457 states/eV/atom. Number 20: N(E_F) 1.186 states/eV/atom.